Below is an optimized crystal structure of CsPrCdS3, with properties calculated at the GGA-PBE level.

Values from the calculation:
Energy above the most stable polymorph in this dataset ... 117.5 meV/atom
Space-group type ... C2/m (12)
Total magnetic moment ... 0.000 μB/atom
Crystal system ... monoclinic
VASP energy ... -53.41 eV for the cell shown

```
12
Lattice="8.781 -2.163 0.000 8.781 2.163 0.000 -2.098 0.000 9.140" Properties=species:S:1:pos:R:3 pbc="T T T"
Cd 7.267 0.000 6.597
Cd 8.198 0.000 2.543
S 9.860 0.000 7.005
S -1.049 0.000 4.570
S 4.574 0.000 5.751
S 10.891 0.000 3.389
S 8.781 0.000 0.000
S 5.604 0.000 2.135
Cs 12.976 0.000 8.575
Cs 2.489 0.000 0.565
Pr 1.703 0.000 5.298
Pr 13.762 0.000 3.842
```



Below is an optimized crystal structure of LaSmAl2I2, with properties calculated at the GGA-PBE level.

Values from the calculation:
Space-group type ... P3m1 (156)
Total magnetic moment ... 0.000 μB/atom
Crystal system ... trigonal
VASP energy ... -26.00 eV for the cell shown

```
6
Lattice="4.390 0.000 0.000 -2.195 3.802 0.000 0.000 0.000 12.468" Properties=species:S:1:pos:R:3 pbc="T T T"
Al 0.000 2.535 0.218
Al 2.195 1.267 12.345
I 0.000 2.535 8.228
I 2.195 1.267 4.132
Sm 0.000 0.000 2.157
La 0.000 0.000 10.324
```



Below is an optimized crystal structure of Dy2TmScTl2, with properties calculated at the GGA-PBE level.

Values from the calculation:
Space-group type ... P-6m2 (187)
Total magnetic moment ... 0.194 μB/atom
Crystal system ... hexagonal
VASP energy ... -26.28 eV for the cell shown

```
6
Lattice="5.262 0.000 0.000 -2.631 4.557 0.000 0.000 0.000 6.627" Properties=species:S:1:pos:R:3 pbc="T T T"
Tl 0.000 0.000 3.314
Tl 0.000 3.038 0.000
Dy 2.631 1.519 5.024
Dy 2.631 1.519 1.604
Sc 0.000 0.000 0.000
Tm 0.000 3.038 3.314
```



Below is an optimized crystal structure of RePbNO, with properties calculated at the GGA-PBE level.

Values from the calculation:
Energy above the most stable polymorph in this dataset ... 210.0 meV/atom
Space-group type ... P4/nmm (129)
Total magnetic moment ... 0.053 μB/atom
Crystal system ... tetragonal
VASP energy ... -59.19 eV for the cell shown

```
8
Lattice="-0.057 1.155 3.697 -3.868 0.189 -0.119 -0.495 -8.478 2.641" Properties=species:S:1:pos:R:3 pbc="T T T"
Pb -2.359 -7.187 2.209
Pb -0.098 -0.619 2.222
Re -2.210 -3.567 3.110
Re -0.247 -4.239 1.320
N -2.142 -3.475 1.052
N -0.315 -4.331 3.378
O -1.963 0.672 1.789
O 0.000 0.000 0.000
```



Below is an optimized crystal structure of PmAgSO, with properties calculated at the GGA-PBE level.

Values from the calculation:
Energy above the most stable polymorph in this dataset ... 3.1 meV/atom
Space-group type ... P4bm (100)
Total magnetic moment ... 0.000 μB/atom
Crystal system ... tetragonal
VASP energy ... -97.56 eV for the cell shown

```
16
Lattice="5.617 0.000 0.000 0.000 5.617 0.000 0.000 0.000 9.196" Properties=species:S:1:pos:R:3 pbc="T T T"
Pm 0.000 2.808 1.185
Pm 2.808 0.000 1.185
Pm 0.000 0.000 8.004
Pm 2.808 2.808 8.004
S 0.000 2.808 6.538
S 0.000 0.000 2.793
S 2.808 0.000 6.538
S 2.808 2.808 2.793
Ag 4.559 3.865 4.514
Ag 1.057 1.751 4.514
Ag 1.751 4.559 4.514
Ag 3.865 1.057 4.514
O 4.208 1.399 0.020
O 1.399 1.409 0.020
O 4.217 4.208 0.020
O 1.409 4.217 0.020
```



Below is an optimized crystal structure of CuReHgOs, with properties calculated at the GGA-PBE level.

Values from the calculation:
Energy above the most stable polymorph in this dataset ... 0.0 meV/atom
Energy relative to the elements ... 0.74 eV per atom
Space-group type ... F-43m (216)
Total magnetic moment ... 0.001 μB/atom
Crystal system ... cubic
VASP energy ... -24.69 eV for the cell shown

```
4
Lattice="-0.971 -3.455 -2.607 -3.898 -2.074 0.427 -3.085 0.405 -3.161" Properties=species:S:1:pos:R:3 pbc="T T T"
Re -3.977 -2.562 -2.671
Hg 0.000 0.000 0.000
Cu -5.966 -3.843 -4.006
Os -1.989 -1.281 -1.335
```



Below is an optimized crystal structure of Ta2Al2Ag, with properties calculated at the GGA-PBE level.

Values from the calculation:
Energy above the most stable polymorph in this dataset ... 0.0 meV/atom
Space-group type ... I4/mmm (139)
Total magnetic moment ... 0.006 μB/atom
Crystal system ... tetragonal
VASP energy ... -31.53 eV for the cell shown

```
5
Lattice="-2.262 1.282 -2.869 -3.120 -0.492 2.240 3.316 5.600 2.500" Properties=species:S:1:pos:R:3 pbc="T T T"
Ta -1.248 2.752 2.213
Ta -0.819 3.638 -0.342
Ag 0.000 0.000 0.000
Al -2.573 1.533 0.100
Al 0.506 4.857 1.771
```



Below is an optimized crystal structure of BaCuP, with properties calculated at the GGA-PBE level.

Values from the calculation:
Space-group type ... Amm2 (38)
Crystal system ... orthorhombic
VASP energy ... -13.24 eV for the cell shown

```
3
Lattice="-2.163 3.185 -2.582 -1.806 1.571 3.450 1.921 3.051 2.153" Properties=species:S:1:pos:R:3 pbc="T T T"
Cu -1.005 4.675 2.447
Ba 0.000 0.000 0.000
P -1.043 3.132 0.576
```